DFT (PBE-GGA) results for a geometry-optimized MgCuTe2 structure.

```
8
Lattice="6.2811 0.0000 0.0000 0.0000 6.2811 0.0000 3.1405 3.1405 6.0613" Properties=species:S:1:pos:R:3 pbc="T T T"
Te 4.9147 1.5703 1.5153
Te 1.3664 4.7108 1.5153
Te 4.7108 4.5069 4.5460
Te 7.8514 8.0553 4.5460
Mg 3.1405 3.1405 0.0000
Mg 3.1405 6.2811 3.0307
Cu 6.2811 3.1405 3.0307
Cu 0.0000 0.0000 0.0000
```

Values from the calculation:
raw formation energy: -0.3461 eV per atom
volume: 239 Å³/cell
energy above the lowest structure with this stoichiometry: 0.000 eV per atom

DFT (PBE-GGA) results for a geometry-optimized RbLi3Ag structure.

```
5
Lattice="5.2902 0.0000 0.0000 0.0000 5.2902 0.0000 0.0000 0.0000 5.2902" Properties=species:S:1:pos:R:3 pbc="T T T"
Li 2.6451 0.0000 0.0000
Li 0.0000 2.6451 0.0000
Li 0.0000 0.0000 2.6451
Rb 0.0000 0.0000 0.0000
Ag 2.6451 2.6451 2.6451
```

Values from the calculation:
volume: 148 Å³/cell
DFT formation energy: 423 kJ/mol of formula units
energy above the lowest structure with this stoichiometry: 0.808 eV per atom

DFT (PBE-GGA) results for a geometry-optimized NdGe12Ru4 structure.

```
17
Lattice="7.5376 0.0000 0.0000 -2.5125 7.1065 0.0000 -2.5125 -3.5532 6.1544" Properties=species:S:1:pos:R:3 pbc="T T T"
Ru -1.2563 -1.7766 3.0772
Ru -1.2563 3.5532 0.0000
Ru 3.7688 0.0000 0.0000
Ru 1.2563 1.7766 3.0772
Ge 2.5114 5.2191 0.9627
Ge 0.0011 -1.6659 5.1917
Ge -2.5114 1.7758 5.0013
Ge -0.0011 3.6632 4.0386
Ge 2.5136 -0.1099 2.1158
Ge 5.0239 1.7774 1.1531
Ge -0.9415 0.6658 3.0786
Ge 4.0835 -1.2200 4.0385
Ge 0.9415 2.9990 0.9627
Ge 1.5710 0.5543 5.1917
Ge -1.5710 4.7733 2.1158
Ge 3.4541 2.8875 3.0758
Nd 0.0000 0.0000 0.0000
```

Values from the calculation:
volume: 330 Å³/cell
DFT formation energy: -61 kJ/mol of formula units

DFT (PBE-GGA) results for a geometry-optimized Pr3DyCd6 structure.

```
20
Lattice="5.2368 0.0000 0.0000 0.0000 9.1007 -2.6641 0.0000 0.2690 11.2536" Properties=species:S:1:pos:R:3 pbc="T T T"
Pr 3.9276 6.0017 0.7586
Pr 1.3092 4.8911 3.0002
Pr 1.3092 6.9482 -2.0049
Pr 3.9276 4.4787 5.5893
Pr 1.3092 3.3681 7.8309
Pr 3.9276 2.4216 10.5943
Cd 1.3092 8.0012 1.1258
Cd 3.9276 3.0518 2.4405
Cd 3.9276 5.2408 8.8133
Cd 1.3092 2.2099 4.7843
Cd 1.3092 6.3180 6.1490
Cd 3.9276 7.1599 3.8052
Cd 3.9276 8.7013 -1.2810
Cd 1.3092 0.6684 9.8705
Cd 3.9276 7.9733 6.9129
Cd 3.9276 1.3686 7.4637
Cd 1.3092 1.3964 1.6766
Cd 1.3092 4.1290 -0.2238
Dy 3.9276 0.5886 4.3451
Dy 1.3092 8.7812 4.2444
```

Values from the calculation:
volume: 540 Å³/cell
DFT formation energy: -281 kJ/mol of formula units

DFT (PBE-GGA) results for a geometry-optimized DyTm5In6 structure.

```
12
Lattice="-4.4817 2.5068 1.2261 1.1842 -1.3998 7.1818 1.7486 8.0587 1.2817" Properties=species:S:1:pos:R:3 pbc="T T T"
In -1.3539 0.2051 5.9909
In 0.7098 5.4253 2.8662
In 1.2974 4.7306 6.4307
In -2.8463 4.4351 3.2589
In -1.9436 0.9019 2.4170
In -2.2587 3.7404 6.8234
Tm -0.9078 3.5273 0.8365
Tm -1.2223 6.3568 5.2641
Tm 0.5921 -0.6999 3.5909
Tm -1.8252 7.0382 1.6714
Tm -0.3266 2.8089 4.4256
Dy 0.0000 0.0000 0.0000
```

Values from the calculation:
volume: 310 Å³/cell
DFT formation energy: -498 kJ/mol of formula units

DFT (PBE-GGA) results for a geometry-optimized LiTlW2 structure.

```
4
Lattice="3.4374 0.0000 0.0000 0.0000 3.4374 0.0000 0.0000 0.0000 5.7078" Properties=species:S:1:pos:R:3 pbc="T T T"
Tl 1.7187 1.7187 4.2809
W 0.0000 0.0000 0.2365
W 0.0000 0.0000 2.6174
Li 1.7187 1.7187 1.4270
```

Values from the calculation:
volume: 67 Å³/cell
DFT formation energy: 378 kJ/mol of formula units
energy above the lowest structure with this stoichiometry: 0.551 eV per atom

DFT (PBE-GGA) results for a geometry-optimized CaY2TmSb4 structure.

```
8
Lattice="4.3735 0.0000 0.0000 0.0000 7.6478 -0.1720 0.0000 2.6645 7.1859" Properties=species:S:1:pos:R:3 pbc="T T T"
Y 0.0000 2.6645 7.1859
Y 2.1868 1.3323 3.5929
Sb 4.3735 2.5647 1.8055
Sb 0.0000 7.7476 5.2084
Sb 2.1868 3.9004 5.3102
Sb 2.1868 6.4119 1.7037
Tm 0.0000 5.1561 3.5070
Ca 2.1868 3.8239 -0.0860
```

Values from the calculation:
raw formation energy: -1.0351 eV per atom
volume: 242 Å³/cell

DFT (PBE-GGA) results for a geometry-optimized KInMo2 structure.

```
8
Lattice="4.5284 0.0000 0.0000 0.0000 4.5284 0.0000 2.2642 2.2642 10.4174" Properties=species:S:1:pos:R:3 pbc="T T T"
Mo 3.3963 2.6641 7.8130
Mo 4.1284 1.1321 2.6043
Mo 5.6605 1.8642 7.8130
Mo 4.9283 3.3963 2.6043
In 4.5284 2.2642 5.2087
In 0.0000 0.0000 0.0000
K 2.2642 2.2642 0.0000
K 2.2642 4.5284 5.2087
```

Values from the calculation:
volume: 214 Å³/cell
DFT formation energy: 514 kJ/mol of formula units